# 1
Density functional theory data (PBE) for Cs2Ce2NpS6 after structural relaxation.

```
Cs2Ce2NpS6
1.0
-2.065 4.382 5.308
-4.697 -1.913 -5.091
0.039 -7.321 4.422
S Ce Np Cs
6 2 1 2
Direct
0.943 0.613 0.324
0.613 0.943 0.324
0.387 0.057 0.676
0.266 0.266 0.324
0.057 0.387 0.676
0.734 0.734 0.676
0.334 0.666 0.500
0.666 0.334 0.500
0.000 0.000 0.500
0.832 0.168 0.000
0.168 0.832 0.000
```

Results
formation energy from raw total energies = -1.68 eV per atom
crystal system = monoclinic



# 2
Density functional theory data (PBE) for Ce2PmReN4 after structural relaxation.

```
Ce2PmReN4
1.0
-2.396 1.830 -1.594
-2.319 -5.776 0.503
-4.760 2.817 10.392
Pm N Ce Re
2 8 4 2
Direct
0.883 0.766 0.250
0.117 0.234 0.750
0.542 0.084 0.250
0.732 0.463 0.629
0.000 0.000 0.500
0.268 0.537 0.129
0.732 0.463 0.871
0.458 0.916 0.750
0.268 0.537 0.371
0.000 0.000 0.000
0.632 0.265 0.454
0.368 0.735 0.546
0.632 0.265 0.046
0.368 0.735 0.954
0.856 0.711 0.750
0.144 0.289 0.250
```

Results
formation energy from raw total energies = -1.02 eV per atom
crystal system = orthorhombic



# 3
Density functional theory data (PBE) for CoRhSCl2 after structural relaxation.

```
CoRhSCl2
1.0
4.802 0.000 0.000
0.000 4.802 0.000
0.000 0.000 4.592
Co Cl Rh S
1 2 1 1
Direct
0.500 0.500 0.500
0.000 0.500 0.000
0.500 0.000 0.000
0.000 0.000 0.000
0.000 0.000 0.500
```

Results
formation energy from raw total energies = 0.51 eV per atom
distance to the lowest polymorph of the same formula = 0.000 eV per atom
crystal system = tetragonal



# 4
Density functional theory data (PBE) for PmNdTm2Bi4 after structural relaxation.

```
PmNdTm2Bi4
1.0
4.521 0.000 0.000
0.000 7.806 -0.148
0.000 2.753 7.325
Bi Tm Pm Nd
4 2 1 1
Direct
0.500 0.761 0.247
0.500 0.239 0.753
0.000 0.239 0.255
0.000 0.761 0.745
0.000 0.000 0.000
0.500 0.000 0.500
0.000 0.500 0.500
0.500 0.500 0.000
```

Results
crystal system = monoclinic
formation energy = -0.860 eV per atom



# 5
Density functional theory data (PBE) for Ce8Tl2Hg after structural relaxation.

```
Ce8Tl2Hg
1.0
-1.941 -3.859 -3.846
2.194 -8.036 1.872
-4.862 -4.769 4.697
Ce Hg Tl
8 1 2
Direct
0.500 0.773 0.453
0.087 0.917 0.809
0.087 0.726 0.191
0.913 0.274 0.809
0.913 0.083 0.191
0.638 0.600 0.000
0.500 0.227 0.547
0.362 0.400 0.000
0.500 0.000 0.000
0.000 0.688 0.623
0.000 0.312 0.377
```

Results
crystal system = monoclinic
formation energy = -0.037 eV per atom



# 6
Density functional theory data (PBE) for TcPt2Rh2 after structural relaxation.

```
TcPt2Rh2
1.0
-0.768 4.274 1.973
-3.753 0.869 0.476
-1.797 -1.380 4.204
Tc Rh Pt
1 2 2
Direct
0.000 0.000 0.000
0.401 0.395 0.809
0.599 0.605 0.191
0.804 0.797 0.603
0.196 0.203 0.397
```

Results
distance to the lowest polymorph of the same formula = 0.000 eV per atom
crystal system = monoclinic
formation energy = -0.108 eV per atom



# 7
Density functional theory data (PBE) for Th2Ga3Co4 after structural relaxation.

```
Th2Ga3Co4
1.0
5.604 0.000 0.000
0.000 6.616 0.000
-2.802 0.000 7.886
Co Ga Th
8 6 4
Direct
0.674 0.750 0.849
0.833 0.024 0.665
0.667 0.524 0.335
0.167 0.976 0.335
0.326 0.250 0.151
0.826 0.250 0.151
0.333 0.476 0.665
0.174 0.750 0.849
0.982 0.250 0.464
0.018 0.750 0.536
0.482 0.250 0.464
0.518 0.750 0.536
0.000 0.000 0.000
0.500 0.500 0.000
0.608 0.918 0.216
0.892 0.418 0.784
0.392 0.082 0.784
0.108 0.582 0.216
```

Results
crystal system = orthorhombic
formation energy = -0.441 eV per atom



# 8
Density functional theory data (PBE) for KLi3Mn4Cl12 after structural relaxation.

```
KLi3Mn4Cl12
1.0
-8.277 -2.228 1.478
4.709 -2.585 6.840
0.389 8.681 -0.365
Cl Mn Li K
12 4 3 1
Direct
0.768 0.066 0.661
0.661 0.768 0.066
0.066 0.661 0.768
0.903 0.500 0.097
0.662 0.500 0.338
0.232 0.339 0.934
0.338 0.662 0.500
0.500 0.338 0.662
0.097 0.903 0.500
0.339 0.934 0.232
0.500 0.097 0.903
0.934 0.232 0.339
0.935 0.065 0.500
0.500 0.500 0.500
0.500 0.935 0.065
0.065 0.500 0.935
0.568 0.432 0.000
0.432 0.000 0.568
0.000 0.568 0.432
0.000 0.000 0.000
```

Results
formation energy from raw total energies = -1.29 eV per atom
crystal system = trigonal



# 9
Density functional theory data (PBE) for KRb2TlHg2 after structural relaxation.

```
KRb2TlHg2
1.0
5.878 0.000 0.000
0.000 8.951 0.000
0.000 0.000 9.726
Hg Rb K Tl
4 4 2 2
Direct
0.500 0.300 0.435
0.000 0.250 0.783
0.000 0.750 0.217
0.500 0.800 0.565
0.000 0.855 0.856
0.000 0.355 0.144
0.500 0.998 0.155
0.500 0.498 0.845
0.000 0.034 0.477
0.000 0.534 0.523
0.500 0.108 0.718
0.500 0.608 0.282
```

Results
crystal system = orthorhombic
formation energy = -0.163 eV per atom



# 10
Density functional theory data (PBE) for ZrNpRh4 after structural relaxation.

```
ZrNpRh4
1.0
-3.404 -1.650 3.668
1.579 -0.568 4.995
-1.711 3.339 3.700
Rh Zr Np
4 1 1
Direct
0.625 0.625 0.125
0.625 0.625 0.625
0.625 0.125 0.625
0.125 0.625 0.625
0.250 0.250 0.250
0.000 0.000 0.000
```

Results
distance to the lowest polymorph of the same formula = 0.000 eV per atom
crystal system = cubic
formation energy = -0.442 eV per atom



# 11
Density functional theory data (PBE) for LiSbAs after structural relaxation.

```
LiSbAs
1.0
-0.257 -3.087 -2.486
7.611 1.035 -2.073
2.532 -5.490 6.556
Sb As Li
4 4 4
Direct
0.500 0.796 0.080
0.500 0.704 0.580
0.500 0.204 0.080
0.500 0.296 0.580
0.000 0.266 0.381
0.000 0.734 0.381
0.000 0.234 0.881
0.000 0.766 0.881
0.000 0.500 0.152
0.500 0.500 0.862
0.500 0.000 0.362
0.000 0.000 0.652
```

Results
formation energy from raw total energies = -0.24 eV per atom
crystal system = orthorhombic



# 12
Density functional theory data (PBE) for NaSrScNb2 after structural relaxation.

```
NaSrScNb2
1.0
-2.241 4.463 -0.785
-2.905 -0.708 4.270
3.550 2.273 2.791
Nb Sc Sr Na
2 1 1 1
Direct
0.500 0.000 0.000
0.000 0.000 0.500
0.000 0.500 0.000
0.500 0.500 0.500
0.000 0.000 0.000
```

Results
crystal system = tetragonal
formation energy = 1.610 eV per atom



# 13
Density functional theory data (PBE) for LaSmY2 after structural relaxation.

```
LaSmY2
1.0
3.637 0.000 0.000
1.818 3.150 0.000
1.818 1.050 11.737
Y Sm La
2 1 1
Direct
0.751 0.751 0.747
0.249 0.249 0.253
0.500 0.500 0.500
0.000 0.000 0.000
```

Results
distance to the lowest polymorph of the same formula = 0.000 eV per atom
crystal system = trigonal
formation energy = 0.012 eV per atom



# 14
Density functional theory data (PBE) for ZrTc2Ir after structural relaxation.

```
ZrTc2Ir
1.0
-4.024 2.213 -1.691
-4.672 -0.562 -1.342
-2.223 1.056 4.261
Ir Tc Zr
1 2 1
Direct
0.259 0.259 0.242
0.739 0.739 0.791
0.997 0.997 0.982
0.505 0.505 0.485
```

Results
distance to the lowest polymorph of the same formula = 0.068 eV per atom
crystal system = monoclinic
formation energy = -0.114 eV per atom



# 15
Density functional theory data (PBE) for NaPmGdPb after structural relaxation.

```
NaPmGdPb
1.0
-0.545 0.509 5.452
-0.623 -4.481 3.133
4.069 -1.613 3.334
Pb Gd Na Pm
1 1 1 1
Direct
0.750 0.750 0.750
0.000 0.000 0.000
0.250 0.250 0.250
0.500 0.500 0.500
```

Results
crystal system = cubic
formation energy = -0.194 eV per atom



# 16
Density functional theory data (PBE) for Re3Hg2 after structural relaxation.

```
Re3Hg2
1.0
-3.016 7.526 -8.986
-2.083 5.378 -10.640
-4.796 5.398 -9.712
Hg Re
2 3
Direct
0.401 0.401 0.401
0.599 0.599 0.599
0.000 0.000 0.000
0.195 0.195 0.195
0.805 0.805 0.805
```

Results
distance to the lowest polymorph of the same formula = 0.000 eV per atom
crystal system = trigonal
formation energy = 0.617 eV per atom



# 17
Density functional theory data (PBE) for Ho6PuRu5 after structural relaxation.

```
Ho6PuRu5
1.0
4.604 0.004 -1.416
-0.770 6.523 -2.486
0.083 -0.548 8.456
Ho Ru Pu
6 5 1
Direct
0.175 0.438 0.350
0.825 0.562 0.650
0.175 0.912 0.350
0.500 0.277 0.000
0.825 0.088 0.650
0.500 0.723 0.000
0.654 0.154 0.308
0.346 0.846 0.692
0.668 0.668 0.336
0.332 0.332 0.664
0.000 0.500 0.000
0.000 0.000 0.000
```

Results
crystal system = orthorhombic
formation energy = -0.227 eV per atom



# 18
Density functional theory data (PBE) for NaB3H3 after structural relaxation.

```
NaB3H3
1.0
-0.189 -2.024 -3.050
5.930 -0.569 0.011
-3.380 -3.988 2.856
H Na B
6 2 6
Direct
0.750 0.897 0.310
0.750 0.413 0.103
0.750 0.690 0.587
0.250 0.310 0.413
0.250 0.103 0.690
0.250 0.587 0.897
0.250 0.667 0.333
0.750 0.333 0.667
0.750 0.951 0.138
0.250 0.138 0.187
0.250 0.049 0.862
0.750 0.187 0.049
0.250 0.813 0.951
0.750 0.862 0.813
```

Results
crystal system = hexagonal
final energy = -4.4113 eV per atom



# 19
Density functional theory data (PBE) for YMg2SbH after structural relaxation.

```
YMg2SbH
1.0
-0.804 3.012 3.345
1.022 -3.187 3.115
4.426 1.308 -0.114
Mg Sb H Y
2 1 1 1
Direct
0.500 0.000 0.000
0.000 0.500 0.000
0.500 0.500 0.500
0.000 0.000 0.000
0.000 0.000 0.500
```

Results
crystal system = tetragonal
final energy = -3.7821 eV per atom



# 20
Density functional theory data (PBE) for Pu2Sb after structural relaxation.

```
Pu2Sb
1.0
-3.358 -1.352 1.862
2.298 -2.168 2.568
0.693 5.480 0.781
Pu Sb
2 1
Direct
0.839 0.839 0.678
0.161 0.161 0.322
0.500 0.500 0.000
```

Results
formation energy from raw total energies = -0.41 eV per atom
crystal system = tetragonal



# 21
Density functional theory data (PBE) for NbAl2Pd2 after structural relaxation.

```
NbAl2Pd2
1.0
2.930 0.000 0.000
0.000 2.884 0.546
0.000 -0.293 9.431
Al Pd Nb
2 2 1
Direct
0.500 0.393 0.215
0.500 0.607 0.785
0.000 0.186 0.628
0.000 0.814 0.372
0.000 0.000 0.000
```

Results
distance to the lowest polymorph of the same formula = 0.015 eV per atom
crystal system = orthorhombic
formation energy = -0.542 eV per atom



# 22
Density functional theory data (PBE) for YBr2 after structural relaxation.

```
YBr2
1.0
0.000 4.460 4.460
4.460 0.000 4.460
4.460 4.460 0.000
Y Br
2 4
Direct
0.750 0.750 0.750
0.500 0.500 0.500
0.125 0.125 0.625
0.625 0.125 0.125
0.125 0.125 0.125
0.125 0.625 0.125
```

Results
formation energy from raw total energies = -0.08 eV per atom
crystal system = cubic



# 23
Density functional theory data (PBE) for Er2Ga3Co5C2 after structural relaxation.

```
Er2Ga3Co5C2
1.0
3.846 0.000 0.000
0.000 3.846 0.000
-1.923 -1.923 10.928
Ga Co Er C
3 5 2 2
Direct
0.000 0.000 0.000
0.156 0.156 0.311
0.844 0.844 0.689
0.500 0.500 0.000
0.582 0.082 0.164
0.082 0.582 0.164
0.918 0.418 0.836
0.418 0.918 0.836
0.698 0.698 0.397
0.302 0.302 0.603
0.586 0.586 0.173
0.414 0.414 0.827
```

Results
crystal system = tetragonal
formation energy = -0.266 eV per atom



# 24
Density functional theory data (PBE) for Rb2CaPaSe4 after structural relaxation.

```
Rb2CaPaSe4
1.0
4.342 0.000 0.000
0.000 7.492 0.135
0.000 -2.632 7.929
Se Rb Pa Ca
4 2 1 1
Direct
0.500 0.778 0.803
0.000 0.253 0.804
0.500 0.222 0.197
0.000 0.747 0.196
0.500 0.000 0.500
0.000 0.500 0.500
0.000 0.000 0.000
0.500 0.500 0.000
```

Results
formation energy from raw total energies = -1.53 eV per atom
crystal system = monoclinic



Calculated M_tot (μB/cell), listed in the same order as above: 5.00, 0.00, 2.49, 0.00, 4.23, 0.00, 0.00, 20.00, 0.00, 3.83, 0.00, 0.00, 0.00, 0.00, 8.00, 0.00, 5.71, 0.00, 0.00, 12.11, 0.00, 2.43, 0.93, 1.00